Model a:
The following is a GGA-PBE calculation of a relaxed TmHgSe2 crystal, from Alexandria.

The structure in CIF format:
```
data_TmHgSe2
_chemical_formula_sum 'Tm1 Hg1 Se2'
_symmetry_space_group_name_H-M 'P 1'
_symmetry_Int_Tables_number 1
_cell_length_a 12.633
_cell_length_b 12.633
_cell_length_c 12.633
_cell_angle_alpha 14.91
_cell_angle_beta 14.91
_cell_angle_gamma 14.91
loop_
_symmetry_equiv_pos_as_xyz
'x,y,z'
loop_
_atom_site_label
_atom_site_type_symbol
_atom_site_fract_x
_atom_site_fract_y
_atom_site_fract_z
Tm1 Tm 0.000 0.000 0.000
Hg1 Hg 0.500 0.500 0.500
Se1 Se 0.073 0.073 0.073
Se2 Se 0.927 0.927 0.927
```

Fermi-level density of states = 3.7 states/eV/f.u.
density = 7.538 Mg/m³
crystal system = trigonal

=====

Model b:
The following is a GGA-PBE calculation of a relaxed TmHgSe2 crystal, from Alexandria.

The structure in CIF format:
```
data_TmHgSe2
_chemical_formula_sum 'Tm1 Hg1 Se2'
_symmetry_space_group_name_H-M 'P 1'
_symmetry_Int_Tables_number 1
_cell_length_a 8.929
_cell_length_b 8.929
_cell_length_c 8.929
_cell_angle_alpha 26.69
_cell_angle_beta 26.69
_cell_angle_gamma 26.69
loop_
_symmetry_equiv_pos_as_xyz
'x,y,z'
loop_
_atom_site_label
_atom_site_type_symbol
_atom_site_fract_x
_atom_site_fract_y
_atom_site_fract_z
Tm1 Tm 0.000 0.000 0.000
Hg1 Hg 0.500 0.500 0.500
Se1 Se 0.393 0.393 0.393
Se2 Se 0.607 0.607 0.607
```

Fermi-level density of states = 2.8 states/eV/f.u.
density = 6.915 Mg/m³
crystal system = trigonal

=====

Most stable structure: model b

=====

Model a:
The following is a GGA-PBE calculation of a relaxed V3HgSe crystal, from Alexandria.

The structure in CIF format:
```
data_V3HgSe
_chemical_formula_sum 'V3 Hg1 Se1'
_symmetry_space_group_name_H-M 'P 1'
_symmetry_Int_Tables_number 1
_cell_length_a 4.567
_cell_length_b 4.567
_cell_length_c 4.567
_cell_angle_alpha 90.00
_cell_angle_beta 90.00
_cell_angle_gamma 90.00
loop_
_symmetry_equiv_pos_as_xyz
'x,y,z'
loop_
_atom_site_label
_atom_site_type_symbol
_atom_site_fract_x
_atom_site_fract_y
_atom_site_fract_z
V1 V 0.000 0.000 0.500
V2 V 0.000 0.500 0.000
V3 V 0.500 0.000 0.000
Hg1 Hg 0.500 0.500 0.500
Se1 Se 0.000 0.000 0.000
```

Fermi-level density of states = 4.4 states/eV/f.u.
density = 7.539 Mg/m³
crystal system = cubic

=====

Model b:
The following is a GGA-PBE calculation of a relaxed V3HgSe crystal, from Alexandria.

The structure in CIF format:
```
data_V3HgSe
_chemical_formula_sum 'V3 Hg1 Se1'
_symmetry_space_group_name_H-M 'P 1'
_symmetry_Int_Tables_number 1
_cell_length_a 5.002
_cell_length_b 5.002
_cell_length_c 5.002
_cell_angle_alpha 90.00
_cell_angle_beta 90.00
_cell_angle_gamma 90.00
loop_
_symmetry_equiv_pos_as_xyz
'x,y,z'
loop_
_atom_site_label
_atom_site_type_symbol
_atom_site_fract_x
_atom_site_fract_y
_atom_site_fract_z
V1 V 0.000 0.000 0.500
V2 V 0.000 0.500 0.000
V3 V 0.500 0.000 0.000
Hg1 Hg 0.000 0.000 0.000
Se1 Se 0.500 0.500 0.500
```

Fermi-level density of states = 12.3 states/eV/f.u.
density = 5.738 Mg/m³
crystal system = cubic

=====

Most stable structure: model a

=====

Model a:
The following is a GGA-PBE calculation of a relaxed V2HgSe crystal, from Alexandria.

The structure in CIF format:
```
data_V2HgSe
_chemical_formula_sum 'V2 Hg1 Se1'
_symmetry_space_group_name_H-M 'P 1'
_symmetry_Int_Tables_number 1
_cell_length_a 4.516
_cell_length_b 4.516
_cell_length_c 4.516
_cell_angle_alpha 60.00
_cell_angle_beta 60.00
_cell_angle_gamma 60.00
loop_
_symmetry_equiv_pos_as_xyz
'x,y,z'
loop_
_atom_site_label
_atom_site_type_symbol
_atom_site_fract_x
_atom_site_fract_y
_atom_site_fract_z
V1 V 0.250 0.250 0.250
V2 V 0.750 0.750 0.750
Hg1 Hg 0.000 0.000 0.000
Se1 Se 0.500 0.500 0.500
```

Fermi-level density of states = 4.6 states/eV/f.u.
density = 9.725 Mg/m³
crystal system = cubic

=====

Model b:
The following is a GGA-PBE calculation of a relaxed V2HgSe crystal, from Alexandria.

The structure in CIF format:
```
data_V2HgSe
_chemical_formula_sum 'V4 Hg2 Se2'
_symmetry_space_group_name_H-M 'P 1'
_symmetry_Int_Tables_number 1
_cell_length_a 5.956
_cell_length_b 5.956
_cell_length_c 5.956
_cell_angle_alpha 106.49
_cell_angle_beta 106.49
_cell_angle_gamma 115.62
loop_
_symmetry_equiv_pos_as_xyz
'x,y,z'
loop_
_atom_site_label
_atom_site_type_symbol
_atom_site_fract_x
_atom_site_fract_y
_atom_site_fract_z
V1 V 0.083 0.625 0.958
V2 V 0.375 0.333 0.458
V3 V 0.667 0.125 0.042
V4 V 0.875 0.917 0.542
Hg1 Hg 0.250 0.750 0.500
Hg2 Hg 0.500 0.500 0.000
Se1 Se 0.000 0.000 0.000
Se2 Se 0.750 0.250 0.500
```

Fermi-level density of states = 5.6 states/eV/f.u.
density = 7.857 Mg/m³
crystal system = tetragonal

=====

Most stable structure: model a

=====

Model a:
The following is a GGA-PBE calculation of a relaxed HgW2Se crystal, from Alexandria.

The structure in CIF format:
```
data_HgW2Se
_chemical_formula_sum 'Hg1 W2 Se1'
_symmetry_space_group_name_H-M 'P 1'
_symmetry_Int_Tables_number 1
_cell_length_a 3.120
_cell_length_b 3.120
_cell_length_c 8.003
_cell_angle_alpha 90.00
_cell_angle_beta 90.00
_cell_angle_gamma 90.00
loop_
_symmetry_equiv_pos_as_xyz
'x,y,z'
loop_
_atom_site_label
_atom_site_type_symbol
_atom_site_fract_x
_atom_site_fract_y
_atom_site_fract_z
Hg1 Hg 0.000 0.000 0.000
W1 W 0.000 0.000 0.542
W2 W 0.500 0.500 0.743
Se1 Se 0.500 0.500 0.357
```

Fermi-level density of states = 2.4 states/eV/f.u.
density = 13.797 Mg/m³
crystal system = tetragonal

=====

Model b:
The following is a GGA-PBE calculation of a relaxed HgW2Se crystal, from Alexandria.

The structure in CIF format:
```
data_HgW2Se
_chemical_formula_sum 'Hg1 W2 Se1'
_symmetry_space_group_name_H-M 'P 1'
_symmetry_Int_Tables_number 1
_cell_length_a 4.633
_cell_length_b 4.633
_cell_length_c 6.025
_cell_angle_alpha 101.11
_cell_angle_beta 101.11
_cell_angle_gamma 40.38
loop_
_symmetry_equiv_pos_as_xyz
'x,y,z'
loop_
_atom_site_label
_atom_site_type_symbol
_atom_site_fract_x
_atom_site_fract_y
_atom_site_fract_z
Hg1 Hg 0.000 0.000 0.000
W1 W 0.243 0.243 0.709
W2 W 0.525 0.525 0.527
Se1 Se 0.777 0.777 0.370
```

Fermi-level density of states = 2.9 states/eV/f.u.
density = 13.107 Mg/m³
crystal system = monoclinic

=====

Most stable structure: model a

=====

Model a:
The following is a GGA-PBE calculation of a relaxed HgW2Se crystal, from Alexandria.

The structure in CIF format:
```
data_HgW2Se
_chemical_formula_sum 'Hg1 W2 Se1'
_symmetry_space_group_name_H-M 'P 1'
_symmetry_Int_Tables_number 1
_cell_length_a 5.373
_cell_length_b 5.373
_cell_length_c 2.943
_cell_angle_alpha 100.98
_cell_angle_beta 100.98
_cell_angle_gamma 116.01
loop_
_symmetry_equiv_pos_as_xyz
'x,y,z'
loop_
_atom_site_label
_atom_site_type_symbol
_atom_site_fract_x
_atom_site_fract_y
_atom_site_fract_z
Hg1 Hg 0.000 0.000 0.000
W1 W 0.000 0.500 0.500
W2 W 0.500 0.000 0.500
Se1 Se 0.500 0.500 0.000
```

Fermi-level density of states = 3.6 states/eV/f.u.
density = 15.086 Mg/m³
crystal system = monoclinic

=====

Model b:
The following is a GGA-PBE calculation of a relaxed HgW2Se crystal, from Alexandria.

The structure in CIF format:
```
data_HgW2Se
_chemical_formula_sum 'Hg1 W2 Se1'
_symmetry_space_group_name_H-M 'P 1'
_symmetry_Int_Tables_number 1
_cell_length_a 5.079
_cell_length_b 5.079
_cell_length_c 2.984
_cell_angle_alpha 90.00
_cell_angle_beta 90.00
_cell_angle_gamma 112.49
loop_
_symmetry_equiv_pos_as_xyz
'x,y,z'
loop_
_atom_site_label
_atom_site_type_symbol
_atom_site_fract_x
_atom_site_fract_y
_atom_site_fract_z
Hg1 Hg 0.000 0.000 0.000
W1 W 0.000 0.500 0.500
W2 W 0.500 0.000 0.500
Se1 Se 0.500 0.500 0.000
```

Fermi-level density of states = 3.9 states/eV/f.u.
density = 15.116 Mg/m³
crystal system = orthorhombic

=====

Most stable structure: model a

=====

Model a:
The following is a GGA-PBE calculation of a relaxed YHgSe crystal, from Alexandria.

The structure in CIF format:
```
data_YHgSe
_chemical_formula_sum 'Y1 Hg1 Se1'
_symmetry_space_group_name_H-M 'P 1'
_symmetry_Int_Tables_number 1
_cell_length_a 6.853
_cell_length_b 6.853
_cell_length_c 6.853
_cell_angle_alpha 148.95
_cell_angle_beta 148.95
_cell_angle_gamma 44.49
loop_
_symmetry_equiv_pos_as_xyz
'x,y,z'
loop_
_atom_site_label
_atom_site_type_symbol
_atom_site_fract_x
_atom_site_fract_y
_atom_site_fract_z
Y1 Y 0.000 0.000 0.000
Hg1 Hg 0.668 0.668 0.000
Se1 Se 0.404 0.404 0.000
```

Fermi-level density of states = 1.3 states/eV/f.u.
density = 7.166 Mg/m³
crystal system = tetragonal

=====

Model b:
The following is a GGA-PBE calculation of a relaxed YHgSe crystal, from Alexandria.

The structure in CIF format:
```
data_YHgSe
_chemical_formula_sum 'Y2 Hg2 Se2'
_symmetry_space_group_name_H-M 'P 1'
_symmetry_Int_Tables_number 1
_cell_length_a 6.447
_cell_length_b 6.447
_cell_length_c 5.633
_cell_angle_alpha 90.03
_cell_angle_beta 90.03
_cell_angle_gamma 127.45
loop_
_symmetry_equiv_pos_as_xyz
'x,y,z'
loop_
_atom_site_label
_atom_site_type_symbol
_atom_site_fract_x
_atom_site_fract_y
_atom_site_fract_z
Y1 Y 0.250 0.250 0.221
Y2 Y 0.750 0.750 0.779
Hg1 Hg 0.250 0.750 0.000
Hg2 Hg 0.750 0.250 0.000
Se1 Se 0.250 0.250 0.719
Se2 Se 0.750 0.750 0.281
```

Fermi-level density of states = 2.3 states/eV/f.u.
density = 6.584 Mg/m³
crystal system = monoclinic

=====

Model c:
The following is a GGA-PBE calculation of a relaxed YHgSe crystal, from Alexandria.

The structure in CIF format:
```
data_YHgSe
_chemical_formula_sum 'Y1 Hg1 Se1'
_symmetry_space_group_name_H-M 'P 1'
_symmetry_Int_Tables_number 1
_cell_length_a 4.953
_cell_length_b 4.953
_cell_length_c 4.953
_cell_angle_alpha 60.00
_cell_angle_beta 60.00
_cell_angle_gamma 60.00
loop_
_symmetry_equiv_pos_as_xyz
'x,y,z'
loop_
_atom_site_label
_atom_site_type_symbol
_atom_site_fract_x
_atom_site_fract_y
_atom_site_fract_z
Y1 Y 0.000 0.000 0.000
Hg1 Hg 0.250 0.250 0.250
Se1 Se 0.750 0.750 0.750
```

Fermi-level density of states = 3.8 states/eV/f.u.
density = 7.122 Mg/m³
crystal system = cubic

=====

Model d:
The following is a GGA-PBE calculation of a relaxed YHgSe crystal, from Alexandria.

The structure in CIF format:
```
data_YHgSe
_chemical_formula_sum 'Y1 Hg1 Se1'
_symmetry_space_group_name_H-M 'P 1'
_symmetry_Int_Tables_number 1
_cell_length_a 4.918
_cell_length_b 4.918
_cell_length_c 4.918
_cell_angle_alpha 60.00
_cell_angle_beta 60.00
_cell_angle_gamma 60.00
loop_
_symmetry_equiv_pos_as_xyz
'x,y,z'
loop_
_atom_site_label
_atom_site_type_symbol
_atom_site_fract_x
_atom_site_fract_y
_atom_site_fract_z
Y1 Y 0.000 0.000 0.000
Hg1 Hg 0.500 0.500 0.500
Se1 Se 0.750 0.750 0.750
```

Fermi-level density of states = 2.2 states/eV/f.u.
density = 7.276 Mg/m³
crystal system = cubic

=====

Most stable structure: model a

=====

Model a:
The following is a GGA-PBE calculation of a relaxed ZnHg2Se crystal, from Alexandria.

The structure in CIF format:
```
data_ZnHg2Se
_chemical_formula_sum 'Zn1 Hg2 Se1'
_symmetry_space_group_name_H-M 'P 1'
_symmetry_Int_Tables_number 1
_cell_length_a 4.015
_cell_length_b 4.015
_cell_length_c 9.212
_cell_angle_alpha 103.11
_cell_angle_beta 103.11
_cell_angle_gamma 59.76
loop_
_symmetry_equiv_pos_as_xyz
'x,y,z'
loop_
_atom_site_label
_atom_site_type_symbol
_atom_site_fract_x
_atom_site_fract_y
_atom_site_fract_z
Zn1 Zn 0.000 0.000 0.000
Hg1 Hg 0.244 0.244 0.706
Hg2 Hg 0.482 0.482 0.426
Se1 Se 0.692 0.692 0.069
```

density = 7.315 Mg/m³
crystal system = monoclinic

=====

Model b:
The following is a GGA-PBE calculation of a relaxed ZnHg2Se crystal, from Alexandria.

The structure in CIF format:
```
data_ZnHg2Se
_chemical_formula_sum 'Zn1 Hg2 Se1'
_symmetry_space_group_name_H-M 'P 1'
_symmetry_Int_Tables_number 1
_cell_length_a 5.405
_cell_length_b 5.405
_cell_length_c 5.405
_cell_angle_alpha 135.42
_cell_angle_beta 104.42
_cell_angle_gamma 92.22
loop_
_symmetry_equiv_pos_as_xyz
'x,y,z'
loop_
_atom_site_label
_atom_site_type_symbol
_atom_site_fract_x
_atom_site_fract_y
_atom_site_fract_z
Zn1 Zn 0.000 0.000 0.000
Hg1 Hg 0.239 0.739 0.500
Hg2 Hg 0.761 0.261 0.500
Se1 Se 0.500 0.500 0.000
```

Fermi-level density of states = 1.3 states/eV/f.u.
density = 8.902 Mg/m³
crystal system = orthorhombic

=====

Model c:
The following is a GGA-PBE calculation of a relaxed ZnHg2Se crystal, from Alexandria.

The structure in CIF format:
```
data_ZnHg2Se
_chemical_formula_sum 'Zn1 Hg2 Se1'
_symmetry_space_group_name_H-M 'P 1'
_symmetry_Int_Tables_number 1
_cell_length_a 4.730
_cell_length_b 3.873
_cell_length_c 6.109
_cell_angle_alpha 90.00
_cell_angle_beta 96.86
_cell_angle_gamma 90.00
loop_
_symmetry_equiv_pos_as_xyz
'x,y,z'
loop_
_atom_site_label
_atom_site_type_symbol
_atom_site_fract_x
_atom_site_fract_y
_atom_site_fract_z
Zn1 Zn 0.000 0.000 0.000
Hg1 Hg 0.364 0.500 0.782
Hg2 Hg 0.784 0.000 0.571
Se1 Se 0.967 0.500 0.231
```

Fermi-level density of states = 0.7 states/eV/f.u.
density = 8.154 Mg/m³
crystal system = monoclinic

=====

Most stable structure: model a

=====

Model a:
The following is a GGA-PBE calculation of a relaxed Zn2HgSe2 crystal, from Alexandria.

The structure in CIF format:
```
data_Zn2HgSe2
_chemical_formula_sum 'Zn2 Hg1 Se2'
_symmetry_space_group_name_H-M 'P 1'
_symmetry_Int_Tables_number 1
_cell_length_a 9.065
_cell_length_b 9.065
_cell_length_c 9.065
_cell_angle_alpha 153.86
_cell_angle_beta 153.86
_cell_angle_gamma 37.30
loop_
_symmetry_equiv_pos_as_xyz
'x,y,z'
loop_
_atom_site_label
_atom_site_type_symbol
_atom_site_fract_x
_atom_site_fract_y
_atom_site_fract_z
Zn1 Zn 0.250 0.750 0.500
Zn2 Zn 0.750 0.250 0.500
Hg1 Hg 0.000 0.000 0.000
Se1 Se 0.337 0.337 0.000
Se2 Se 0.663 0.663 0.000
```

Fermi-level density of states = 0.0 states/eV/f.u.
density = 5.629 Mg/m³
crystal system = tetragonal

=====

Model b:
The following is a GGA-PBE calculation of a relaxed Zn2HgSe2 crystal, from Alexandria.

The structure in CIF format:
```
data_Zn2HgSe2
_chemical_formula_sum 'Zn4 Hg2 Se4'
_symmetry_space_group_name_H-M 'P 1'
_symmetry_Int_Tables_number 1
_cell_length_a 7.743
_cell_length_b 7.743
_cell_length_c 3.520
_cell_angle_alpha 90.00
_cell_angle_beta 90.00
_cell_angle_gamma 90.00
loop_
_symmetry_equiv_pos_as_xyz
'x,y,z'
loop_
_atom_site_label
_atom_site_type_symbol
_atom_site_fract_x
_atom_site_fract_y
_atom_site_fract_z
Zn1 Zn 0.141 0.359 0.000
Zn2 Zn 0.359 0.859 0.000
Zn3 Zn 0.641 0.141 0.000
Zn4 Zn 0.859 0.641 0.000
Hg1 Hg 0.000 0.000 0.500
Hg2 Hg 0.500 0.500 0.500
Se1 Se 0.161 0.661 0.500
Se2 Se 0.339 0.161 0.500
Se3 Se 0.661 0.839 0.500
Se4 Se 0.839 0.339 0.500
```

Fermi-level density of states = 1.6 states/eV/f.u.
density = 7.701 Mg/m³
crystal system = tetragonal

=====

Most stable structure: model a